VASP calculation (PBE) on an optimized crystal structure of Sr3In2Rh3.

## Properties
Electronic total energy: -4.440 eV/atom
E_form: -0.37 eV/atom
Fermi-level density of states: 16.66 states/eV/cell
SG: Pnma, No. 62

```
Sr3In2Rh3
1.0
8.440 0.000 0.000
0.000 15.320 0.000
0.000 0.000 6.612
Sr In Rh
12 8 12
Cartesian
0.358 1.680 0.978
0.358 5.980 0.978
0.870 11.490 2.619
3.350 3.830 5.925
3.862 9.340 4.284
3.862 13.640 4.284
4.579 1.680 2.329
4.579 5.980 2.329
5.090 11.490 0.687
7.570 3.830 3.993
8.082 9.340 5.635
8.082 13.640 5.635
1.600 1.457 4.151
1.600 6.203 4.151
2.620 9.117 0.845
2.620 13.863 0.845
5.820 1.457 5.768
5.820 6.203 5.768
6.841 9.117 2.462
6.841 13.863 2.462
0.998 8.450 2.792
0.998 14.531 2.792
2.092 3.830 2.841
2.128 11.490 6.147
3.222 0.790 6.098
3.222 6.871 6.098
5.218 8.450 0.514
5.218 14.531 0.514
6.312 3.830 0.465
6.348 11.490 3.771
7.443 0.790 3.820
7.443 6.871 3.820
```